Compound: UPdPbSe4
Source: Alexandria via LeMat-Bulk
Functional: PBE
Structure: relaxed

Magnetic moment (μB per cell): 2.5
Energy relative to the elements, uncorrected (eV per formula unit): -4.58

```
data_UPdPbSe4
_cell_length_a 7.092
_cell_length_b 5.804
_cell_length_c 8.904
_cell_angle_alpha 90.00
_cell_angle_beta 108.86
_cell_angle_gamma 90.00
_space_group_name_H-M_alt 'P 1 21/m 1'
_space_group_IT_number 11
_space_group_name_Hall '-P 2yb'
loop_
_atom_site_label
_atom_site_fract_x
_atom_site_fract_y
_atom_site_fract_z
U1 0.235 0.250 0.446
Pd1 0.252 0.750 0.669
Pb1 0.219 0.250 0.954
Se1 0.049 0.750 0.387
Se2 0.059 0.750 0.868
Se3 0.458 0.514 0.283
```